A geometry-optimized Na2ScSnS4 structure, computed with GGA-PBE.

Lattice parameters (Å, degrees): 6.758 3.827 7.004 90.00 108.22 90.00
Element x y z (fractional)
Na (0.000, 0.000, 0.000)
Na (0.500, 0.500, 0.000)
Sc (0.000, 0.500, 0.500)
Sn (0.500, 0.000, 0.500)
S (0.231, 0.000, 0.716)
S (0.247, 0.500, 0.278)
S (0.753, 0.500, 0.722)
S (0.769, 0.000, 0.284)

## Properties
Uncorrected formation energy, kJ per mole of atoms: -117.65
Total magnetization, μB per formula unit: 0.000